Here is a geometry-optimized SrOF2 structure from Alexandria via LeMat-Bulk. Energies are from GGA-PBEsol.

D(E_F)   3.862 states/eV/f.u.
Total DFT energy (no corrections)   -4.89 eV per atom
Formation energy (no corrections)   -2.152 eV per atom
Total magnetization   2.000 μB per formula unit

CIF file:
```
data_SrOF2
_chemical_formula_sum 'Sr4 O4 F8'
_cell_length_a 5.8909
_cell_length_b 5.8909
_cell_length_c 5.8909
_cell_angle_alpha 90.00
_cell_angle_beta 90.00
_cell_angle_gamma 90.00
_space_group_name_H-M_alt 'F m -3 m'
_space_group_IT_number 225
_space_group_name_Hall '-F 4 2 3'
loop_
_atom_site_label
_atom_site_type_symbol
_atom_site_fract_x
_atom_site_fract_y
_atom_site_fract_z
Sr1 Sr 0.0000 0.0000 0.0000
O1 O 0.0000 0.0000 0.5000
F1 F 0.2500 0.2500 0.2500
```

=====

Here is a geometry-optimized SrOF3 structure from Alexandria via LeMat-Bulk. Energies are from GGA-PBEsol.

D(E_F)   7.385 states/eV/f.u.
Total DFT energy (no corrections)   -4.09 eV per atom
Formation energy (no corrections)   -1.518 eV per atom
Total magnetization   3.011 μB per formula unit

CIF file:
```
data_SrOF3
_chemical_formula_sum 'Sr1 O1 F3'
_cell_length_a 4.7098
_cell_length_b 4.7098
_cell_length_c 4.7098
_cell_angle_alpha 90.00
_cell_angle_beta 90.00
_cell_angle_gamma 90.00
_space_group_name_H-M_alt 'P m -3 m'
_space_group_IT_number 221
_space_group_name_Hall '-P 4 2 3'
loop_
_atom_site_label
_atom_site_type_symbol
_atom_site_fract_x
_atom_site_fract_y
_atom_site_fract_z
Sr1 Sr 0.0000 0.0000 0.0000
O1 O 0.5000 0.5000 0.5000
F1 F 0.0000 0.0000 0.5000
```

=====

Here is a geometry-optimized Sr3Ta4O12F2 structure from Alexandria via LeMat-Bulk. Energies are from GGA-PBEsol.

D(E_F)   0.000 states/eV/f.u.
Total DFT energy (no corrections)   -8.99 eV per atom
Formation energy (no corrections)   -3.156 eV per atom
Total magnetization   0.000 μB per formula unit

CIF file:
```
data_Sr3Ta4O12F2
_chemical_formula_sum 'Sr9 Ta12 O36 F6'
_cell_length_a 7.5254
_cell_length_b 7.5254
_cell_length_c 17.9788
_cell_angle_alpha 90.00
_cell_angle_beta 90.00
_cell_angle_gamma 120.00
_space_group_name_H-M_alt 'R -3 m'
_space_group_IT_number 166
_space_group_name_Hall '-R 3 2"'
loop_
_atom_site_label
_atom_site_type_symbol
_atom_site_fract_x
_atom_site_fract_y
_atom_site_fract_z
Sr1 Sr 0.0000 0.5000 0.0000
Ta1 Ta 0.0000 0.0000 0.0000
Ta2 Ta 0.0000 0.5000 0.5000
O1 O 0.0773 0.5386 0.6072
O2 O 0.0912 0.5456 0.8560
F1 F 0.0000 0.0000 0.3754
```

=====

Here is a geometry-optimized Sr5V3O12F structure from Alexandria via LeMat-Bulk. Energies are from GGA-PBEsol.

D(E_F)   0.000 states/eV/f.u.
Total DFT energy (no corrections)   -7.90 eV per atom
Formation energy (no corrections)   -2.990 eV per atom
Total magnetization   0.000 μB per formula unit

CIF file:
```
data_Sr5V3O12F
_chemical_formula_sum 'Sr10 V6 O24 F2'
_cell_length_a 9.9573
_cell_length_b 9.9573
_cell_length_c 7.3947
_cell_angle_alpha 90.00
_cell_angle_beta 90.00
_cell_angle_gamma 120.00
_space_group_name_H-M_alt 'P 63/m'
_space_group_IT_number 176
_space_group_name_Hall '-P 6c'
loop_
_atom_site_label
_atom_site_type_symbol
_atom_site_fract_x
_atom_site_fract_y
_atom_site_fract_z
Sr1 Sr 0.0093 0.7602 0.2500
Sr2 Sr 0.3333 0.6667 0.0008
V1 V 0.0317 0.6326 0.7500
O1 O 0.0932 0.7521 0.5663
O2 O 0.1277 0.5291 0.7500
O3 O 0.1667 0.4828 0.2500
F1 F 0.0000 0.0000 0.2500
```

=====

Here is a geometry-optimized Sr7Y6OF30 structure from Alexandria via LeMat-Bulk. Energies are from GGA-PBEsol.

D(E_F)   0.000 states/eV/f.u.
Total DFT energy (no corrections)   -6.73 eV per atom
Formation energy (no corrections)   -4.071 eV per atom
Total magnetization   0.068 μB per formula unit

CIF file:
```
data_Sr7Y6OF30
_chemical_formula_sum 'Sr21 Y18 O3 F90'
_cell_length_a 14.3974
_cell_length_b 14.3974
_cell_length_c 9.7992
_cell_angle_alpha 90.00
_cell_angle_beta 90.00
_cell_angle_gamma 120.00
_space_group_name_H-M_alt 'R 3'
_space_group_IT_number 146
_space_group_name_Hall 'R 3'
loop_
_atom_site_label
_atom_site_type_symbol
_atom_site_fract_x
_atom_site_fract_y
_atom_site_fract_z
Sr1 Sr 0.0000 0.0000 0.0000
Sr2 Sr 0.0110 0.5740 0.7033
Sr3 Sr 0.0997 0.3438 0.6950
Y1 Y 0.0466 0.1641 0.3500
Y2 Y 0.1943 0.1374 0.7082
O1 O 0.0000 0.0000 0.4130
F1 F 0.0233 0.5792 0.9542
F2 F 0.0297 0.6028 0.4494
F3 F 0.0360 0.1250 0.7656
F4 F 0.0488 0.1788 0.1112
F5 F 0.0495 0.8365 0.5302
F6 F 0.0894 0.3605 0.9449
F7 F 0.1091 0.3564 0.4438
F8 F 0.1648 0.1175 0.2643
F9 F 0.1725 0.4534 0.1954
F10 F 0.1886 0.1366 0.9404
```

=====

Here is a geometry-optimized SrZnOF2 structure from Alexandria via LeMat-Bulk. Energies are from GGA-PBEsol.

D(E_F)   0.000 states/eV/f.u.
Total DFT energy (no corrections)   -5.12 eV per atom
Formation energy (no corrections)   -2.612 eV per atom
Total magnetization   0.000 μB per formula unit

CIF file:
```
data_SrZnOF2
_chemical_formula_sum 'Sr1 Zn1 O1 F2'
_cell_length_a 4.0671
_cell_length_b 4.0671
_cell_length_c 3.9109
_cell_angle_alpha 90.00
_cell_angle_beta 90.00
_cell_angle_gamma 90.00
_space_group_name_H-M_alt 'P 4/m m m'
_space_group_IT_number 123
_space_group_name_Hall '-P 4 2'
loop_
_atom_site_label
_atom_site_type_symbol
_atom_site_fract_x
_atom_site_fract_y
_atom_site_fract_z
Sr1 Sr 0.0000 0.0000 0.0000
Zn1 Zn 0.5000 0.5000 0.5000
O1 O 0.5000 0.5000 0.0000
F1 F 0.0000 0.5000 0.5000
```

=====

Here is a geometry-optimized TaTeO2F structure from Alexandria via LeMat-Bulk. Energies are from GGA-PBEsol.

D(E_F)   4.867 states/eV/f.u.
Total DFT energy (no corrections)   -5.45 eV per atom
Formation energy (no corrections)   0.246 eV per atom
Total magnetization   3.521 μB per formula unit

CIF file:
```
data_TaTeO2F
_chemical_formula_sum 'Ta1 Te1 O2 F1'
_cell_length_a 4.2316
_cell_length_b 4.2316
_cell_length_c 4.3479
_cell_angle_alpha 90.00
_cell_angle_beta 90.00
_cell_angle_gamma 90.00
_space_group_name_H-M_alt 'P 4/m m m'
_space_group_IT_number 123
_space_group_name_Hall '-P 4 2'
loop_
_atom_site_label
_atom_site_type_symbol
_atom_site_fract_x
_atom_site_fract_y
_atom_site_fract_z
Ta1 Ta 0.0000 0.0000 0.0000
Te1 Te 0.5000 0.5000 0.5000
O1 O 0.0000 0.5000 0.5000
F1 F 0.5000 0.5000 0.0000
```

=====

Here is a geometry-optimized TbOF structure from Alexandria via LeMat-Bulk. Energies are from GGA-PBEsol.

D(E_F)   0.000 states/eV/f.u.
Total DFT energy (no corrections)   -8.01 eV per atom
Formation energy (no corrections)   -3.947 eV per atom
Total magnetization   0.000 μB per formula unit

CIF file:
```
data_TbOF
_chemical_formula_sum 'Tb6 O6 F6'
_cell_length_a 3.7909
_cell_length_b 3.7909
_cell_length_c 18.8753
_cell_angle_alpha 90.00
_cell_angle_beta 90.00
_cell_angle_gamma 120.00
_space_group_name_H-M_alt 'R -3 m'
_space_group_IT_number 166
_space_group_name_Hall '-R 3 2"'
loop_
_atom_site_label
_atom_site_type_symbol
_atom_site_fract_x
_atom_site_fract_y
_atom_site_fract_z
Tb1 Tb 0.0000 0.0000 0.2415
O1 O 0.0000 0.0000 0.1216
F1 F 0.0000 0.0000 0.3700
```

=====

Here is a geometry-optimized TcOF2 structure from Alexandria via LeMat-Bulk. Energies are from GGA-PBEsol.

D(E_F)   2.142 states/eV/f.u.
Total DFT energy (no corrections)   -5.68 eV per atom
Formation energy (no corrections)   -0.585 eV per atom
Total magnetization   2.259 μB per formula unit

CIF file:
```
data_TcOF2
_chemical_formula_sum 'Tc4 O4 F8'
_cell_length_a 3.1600
_cell_length_b 3.1600
_cell_length_c 14.9915
_cell_angle_alpha 90.00
_cell_angle_beta 90.00
_cell_angle_gamma 90.00
_space_group_name_H-M_alt 'I -4 2 d'
_space_group_IT_number 122
_space_group_name_Hall 'I -4 2bw'
loop_
_atom_site_label
_atom_site_type_symbol
_atom_site_fract_x
_atom_site_fract_y
_atom_site_fract_z
Tc1 Tc 0.0000 0.0000 0.0000
O1 O 0.0000 0.0000 0.5000
F1 F 0.2179 0.2500 0.1250
```